# 1
Computed, not measured: crystalline NaEuGdIn at its relaxed geometry at the PBE-GGA level of DFT.

a b c (Å): 7.902 7.902 7.902
angles (deg): 90.00 90.00 90.00
Space group F-43m (No. 216)
One atom of each set of equivalent atoms:
Na  0.000  0.000  0.000
Eu  0.250  0.250  0.250
Gd  0.250  0.250  0.750
In  0.000  0.000  0.500

Magnetization ... 0.2 μB/f.u.
Calculated formation energy ... -0.1445 eV/atom

# 2
Computed, not measured: crystalline EuGdInPb at its relaxed geometry at the PBE-GGA level of DFT.

a b c (Å): 7.813 7.813 7.813
angles (deg): 90.00 90.00 90.00
Space group F-43m (No. 216)
One atom of each set of equivalent atoms:
Eu  0.000  0.000  0.000
Gd  0.000  0.000  0.500
In  0.250  0.250  0.750
Pb  0.250  0.250  0.250

Magnetization ... 0.0 μB/f.u.
Calculated formation energy ... -0.4566 eV/atom

# 3
Computed, not measured: crystalline EuGdInPt at its relaxed geometry at the PBE-GGA level of DFT.

a b c (Å): 7.417 7.417 7.417
angles (deg): 90.00 90.00 90.00
Space group F-43m (No. 216)
One atom of each set of equivalent atoms:
Eu  0.000  0.000  0.000
Gd  0.000  0.000  0.500
In  0.250  0.250  0.750
Pt  0.250  0.250  0.250

Magnetization ... 0.1 μB/f.u.
Calculated formation energy ... -0.6475 eV/atom

# 4
Computed, not measured: crystalline EuGdInRu at its relaxed geometry at the PBE-GGA level of DFT.

a b c (Å): 7.291 7.291 7.291
angles (deg): 90.00 90.00 90.00
Space group F-43m (No. 216)
One atom of each set of equivalent atoms:
Eu  0.000  0.000  0.000
Gd  0.000  0.000  0.500
In  0.250  0.250  0.250
Ru  0.250  0.250  0.750

Magnetization ... 0.4 μB/f.u.
Calculated formation energy ... -0.1281 eV/atom

# 5
Computed, not measured: crystalline EuGdScIn at its relaxed geometry at the PBE-GGA level of DFT.

a b c (Å): 7.723 7.723 7.723
angles (deg): 90.00 90.00 90.00
Space group F-43m (No. 216)
One atom of each set of equivalent atoms:
Eu  0.000  0.000  0.000
Gd  0.000  0.000  0.500
Sc  0.250  0.250  0.250
In  0.250  0.250  0.750

Magnetization ... 0.1 μB/f.u.
Calculated formation energy ... -0.1136 eV/atom

# 6
Computed, not measured: crystalline SmEuGdIn at its relaxed geometry at the PBE-GGA level of DFT.

a b c (Å): 7.895 7.895 7.895
angles (deg): 90.00 90.00 90.00
Space group F-43m (No. 216)
One atom of each set of equivalent atoms:
Sm  0.000  0.000  0.000
Eu  0.250  0.250  0.750
Gd  0.250  0.250  0.250
In  0.000  0.000  0.500

Magnetization ... 15.6 μB/f.u.
Calculated formation energy ... -0.1009 eV/atom

# 7
Computed, not measured: crystalline TbEuGdIn at its relaxed geometry at the PBE-GGA level of DFT.

a b c (Å): 7.821 7.821 7.821
angles (deg): 90.00 90.00 90.00
Space group F-43m (No. 216)
One atom of each set of equivalent atoms:
Tb  0.000  0.000  0.000
Eu  0.250  0.250  0.750
Gd  0.000  0.000  0.500
In  0.250  0.250  0.250

Magnetization ... 0.2 μB/f.u.
Calculated formation energy ... -0.1354 eV/atom

# 8
Computed, not measured: crystalline EuGdThIn at its relaxed geometry at the PBE-GGA level of DFT.

a b c (Å): 7.896 7.896 7.896
angles (deg): 90.00 90.00 90.00
Space group F-43m (No. 216)
One atom of each set of equivalent atoms:
Eu  0.000  0.000  0.000
Gd  0.000  0.000  0.500
Th  0.250  0.250  0.250
In  0.250  0.250  0.750

Magnetization ... 16.3 μB/f.u.
Calculated formation energy ... 0.0187 eV/atom